[1]
A geometry-optimized CdHRu3 structure, computed with PBE-GGA.

Lattice parameters (Å, degrees): 3.998 3.998 3.998 90.00 90.00 90.00
Sites, in units of the cell vectors:
Ru 0.000 0.000 0.500
Ru 0.500 0.000 0.000
Ru 0.000 0.500 0.000
Cd 0.500 0.500 0.500
H 0.000 0.000 0.000

Space-group type: No. 221
Distance to the lowest polymorph of the same formula, meV/atom: 0


[2]
A geometry-optimized NpCoSi2 structure, computed with PBE-GGA.

Lattice parameters (Å, degrees): 2.742 2.742 8.842 81.08 81.08 60.00
Sites, in units of the cell vectors:
Si 0.265 0.265 0.205
Si 0.735 0.735 0.795
Np 0.500 0.500 0.500
Co 0.000 0.000 0.000

Space-group type: No. 166
Raw total energy, eV per atom: -7.84


[3]
A geometry-optimized NaTiAl structure, computed with PBE-GGA.

Lattice parameters (Å, degrees): 8.103 5.771 4.720 90.00 90.00 90.00
Sites, in units of the cell vectors:
Al 0.000 0.500 0.000
Al 0.500 0.500 0.500
Al 0.000 0.000 0.000
Al 0.500 0.000 0.500
Ti 0.671 0.750 0.000
Ti 0.329 0.250 0.000
Ti 0.829 0.250 0.500
Ti 0.171 0.750 0.500
Na 0.664 0.250 0.000
Na 0.336 0.750 0.000
Na 0.164 0.250 0.500
Na 0.836 0.750 0.500

Space-group type: No. 63
Distance to the lowest polymorph of the same formula, meV/atom: 543


[4]
A geometry-optimized SrRh2Br structure, computed with PBE-GGA.

Lattice parameters (Å, degrees): 5.857 5.857 4.630 97.57 97.57 37.34
Sites, in units of the cell vectors:
Rh 0.471 0.471 0.571
Rh 0.029 0.029 0.929
Sr 0.750 0.750 0.750
Br 0.250 0.250 0.250

Space-group type: No. 12
Distance to the lowest polymorph of the same formula, meV/atom: 225


[5]
A geometry-optimized Dy3Te4 structure, computed with PBE-GGA.

Lattice parameters (Å, degrees): 6.148 6.148 7.461 114.33 114.33 90.00
Sites, in units of the cell vectors:
Dy 0.250 0.750 0.500
Dy 0.000 0.000 0.000
Dy 0.750 0.250 0.500
Te 0.000 0.500 0.000
Te 0.257 0.257 0.514
Te 0.500 0.000 0.000
Te 0.743 0.743 0.486

Space-group type: No. 139
Raw total energy, eV per atom: -5.13


[6]
A geometry-optimized CaLaLuTh structure, computed with PBE-GGA.

Lattice parameters (Å, degrees): 5.787 5.787 5.787 60.00 60.00 60.00
Sites, in units of the cell vectors:
Ca 0.000 0.000 0.000
La 0.750 0.750 0.750
Th 0.250 0.250 0.250
Lu 0.500 0.500 0.500

Space-group type: No. 216
Raw total energy, eV per atom: -4.53


[7]
A geometry-optimized Ba2SrAlAu structure, computed with PBE-GGA.

Lattice parameters (Å, degrees): 6.836 5.463 6.836 90.00 90.00 90.00
Sites, in units of the cell vectors:
Ba 0.500 0.000 0.000
Ba 0.000 0.000 0.500
Al 0.000 0.500 0.000
Sr 0.000 0.000 0.000
Au 0.500 0.500 0.500

Space-group type: No. 123
Raw total energy, eV per atom: -1.76


[8]
A geometry-optimized PaAlP2Ru5 structure, computed with PBE-GGA.

Lattice parameters (Å, degrees): 4.109 4.109 8.048 90.00 90.00 90.00
Sites, in units of the cell vectors:
P 0.500 0.500 0.856
P 0.500 0.500 0.144
Ru 0.500 0.500 0.500
Ru 0.500 0.000 0.284
Ru 0.500 0.000 0.716
Ru 0.000 0.500 0.716
Ru 0.000 0.500 0.284
Al 0.000 0.000 0.500
Pa 0.000 0.000 0.000

Space-group type: No. 123
Raw total energy, eV per atom: -8.44